Entry 1:
DFT (PBE-GGA) results for a geometry-optimized Tb2Pm6Dy3 structure.

Its energy above the lowest structure with this stoichiometry is 275 meV/atom. For the calculated volume, the calculation gives 34.91 Å³ per atom. The total energy is -4.400 eV/atom. Its size of the total moment is 0.0 μB per cell. The formation energy is 0.29 eV/atom. The space group is No. 139. For the density of states at the Fermi level, the calculation gives 1.441 states/eV per atom.

a = 17.1691 Å, b = 17.1691 Å, c = 17.1691 Å
α = 164.01°, β = 164.01°, γ = 22.69°
Sites, in units of the cell vectors:
1 Tb 0.0453 0.0453 0.0000
2 Tb 0.9547 0.9547 0.0000
3 Pm 0.1206 0.6206 0.5000
4 Pm 0.2001 0.2001 0.0000
5 Pm 0.3794 0.8794 0.5000
6 Pm 0.6206 0.1206 0.5000
7 Pm 0.7999 0.7999 0.0000
8 Pm 0.8794 0.3794 0.5000
9 Dy 0.3020 0.3020 0.0000
10 Dy 0.5000 0.5000 0.0000
11 Dy 0.6980 0.6980 0.0000

Entry 2:
DFT (PBE-GGA) results for a geometry-optimized CeErAlIn structure.

Its energy above the lowest structure with this stoichiometry is 31 meV/atom. For the calculated volume, the calculation gives 25.69 Å³ per atom. The total energy is -4.586 eV/atom. Its size of the total moment is 1.0 μB per cell. The formation energy is -0.34 eV/atom. The space group is No. 216. For the density of states at the Fermi level, the calculation gives 1.642 states/eV per atom.

a = 5.2574 Å, b = 5.2574 Å, c = 5.2574 Å
α = 60.00°, β = 60.00°, γ = 60.00°
Sites, in units of the cell vectors:
1 Ce 0.0000 0.0000 0.0000
2 Er 0.5000 0.5000 0.5000
3 Al 0.7500 0.7500 0.7500
4 In 0.2500 0.2500 0.2500

Entry 3:
DFT (PBE-GGA) results for a geometry-optimized CaCo2Br structure.

Its energy above the lowest structure with this stoichiometry is 438 meV/atom. For the calculated volume, the calculation gives 19.36 Å³ per atom. The total energy is -4.206 eV/atom. The formation energy (no corrections) is 0.27 eV per atom. Its size of the total moment is 3.3 μB per cell. The space group is No. 47. For the density of states at the Fermi level, the calculation gives 0.856 states/eV per atom.

a = 3.7933 Å, b = 3.8285 Å, c = 5.3320 Å
α = 90.00°, β = 90.00°, γ = 90.00°
Sites, in units of the cell vectors:
1 Ca 0.0000 0.0000 0.0000
2 Co 0.0000 0.5000 0.5000
3 Co 0.5000 0.0000 0.5000
4 Br 0.5000 0.5000 0.0000

Entry 4:
DFT (PBE-GGA) results for a geometry-optimized CaBe3Si structure.

Its energy above the lowest structure with this stoichiometry is 1676 meV/atom. For the calculated volume, the calculation gives 24.37 Å³ per atom. The total energy is -1.478 eV/atom. The formation energy (no corrections) is 2.24 eV per atom. Its size of the total moment is 0.0 μB per cell. The space group is No. 221. For the density of states at the Fermi level, the calculation gives 1.031 states/eV per atom.

a = 4.9578 Å, b = 4.9578 Å, c = 4.9578 Å
α = 90.00°, β = 90.00°, γ = 90.00°
Sites, in units of the cell vectors:
1 Ca 0.0000 0.0000 0.0000
2 Be 0.0000 0.0000 0.5000
3 Be 0.0000 0.5000 0.0000
4 Be 0.5000 0.0000 0.0000
5 Si 0.5000 0.5000 0.5000

Entry 5:
DFT (PBE-GGA) results for a geometry-optimized PaSnPb structure.

Its energy above the lowest structure with this stoichiometry is 354 meV/atom. For the calculated volume, the calculation gives 31.27 Å³ per atom. The total energy is -5.288 eV/atom. Its size of the total moment is 2.4 μB per cell. The formation energy is 0.45 eV/atom. The space group is No. 109. For the density of states at the Fermi level, the calculation gives 2.124 states/eV per atom.

a = 6.6869 Å, b = 6.6869 Å, c = 6.6869 Å
α = 126.32°, β = 126.32°, γ = 79.37°
Sites, in units of the cell vectors:
1 Pa 0.0000 0.0000 0.0000
2 Pa 0.7500 0.2500 0.5000
3 Sn 0.0615 0.5615 0.5000
4 Sn 0.3115 0.3115 0.0000
5 Pb 0.4117 0.9117 0.5000
6 Pb 0.6617 0.6617 0.0000

Entry 6:
DFT (PBE-GGA) results for a geometry-optimized LiTmBeHg structure.

For the calculated volume, the calculation gives 16.86 Å³ per atom. The total energy is -2.727 eV/atom. Its size of the total moment is 0.0 μB per cell. The formation energy is -0.12 eV/atom. The space group is No. 216. For the density of states at the Fermi level, the calculation gives 0.263 states/eV per atom.

a = 4.5689 Å, b = 4.5689 Å, c = 4.5689 Å
α = 60.00°, β = 60.00°, γ = 60.00°
Sites, in units of the cell vectors:
1 Li 0.0000 0.0000 0.0000
2 Tm 0.2500 0.2500 0.2500
3 Be 0.5000 0.5000 0.5000
4 Hg 0.7500 0.7500 0.7500

Entry 7:
DFT (PBE-GGA) results for a geometry-optimized KVMoCl6 structure.

For the calculated volume, the calculation gives 28.25 Å³ per atom. The total energy is -4.774 eV/atom. The formation energy (no corrections) is -1.20 eV per atom. Its size of the total moment is 6.0 μB per cell. The space group is No. 149.

a = 6.4654 Å, b = 6.4654 Å, c = 7.0229 Å
α = 90.00°, β = 90.00°, γ = 120.00°
Sites, in units of the cell vectors:
1 K 0.0000 0.0000 0.0000
2 V 0.3333 0.6667 0.5000
3 Mo 0.6667 0.3333 0.5000
4 Cl 0.3672 0.0020 0.6977
5 Cl 0.3672 0.3652 0.3023
6 Cl 0.6348 0.0020 0.3023
7 Cl 0.6348 0.6328 0.6977
8 Cl 0.9980 0.3652 0.6977
9 Cl 0.9980 0.6328 0.3023

Entry 8:
DFT (PBE-GGA) results for a geometry-optimized Er3Th3InTc2 structure.

For the calculated volume, the calculation gives 26.18 Å³ per atom. The total energy is -6.648 eV/atom. Its size of the total moment is 0.0 μB per cell. The formation energy is -0.05 eV/atom. The space group is No. 189. For the density of states at the Fermi level, the calculation gives 0.942 states/eV per atom.

a = 7.8749 Å, b = 7.8749 Å, c = 4.3868 Å
α = 90.00°, β = 90.00°, γ = 120.00°
Sites, in units of the cell vectors:
1 Er 0.0000 0.7346 0.0000
2 Er 0.2654 0.2654 0.0000
3 Er 0.7346 0.0000 0.0000
4 Th 0.0000 0.4227 0.5000
5 Th 0.4227 0.0000 0.5000
6 Th 0.5773 0.5773 0.5000
7 In 0.0000 0.0000 0.5000
8 Tc 0.3333 0.6667 0.0000
9 Tc 0.6667 0.3333 0.0000